No. 1
# In2OsRh

A geometry-optimized In2OsRh structure (PBE, Alexandria via LeMat-Bulk).

a = 6.541 Å, b = 6.541 Å, c = 6.541 Å
α = 90.00°, β = 90.00°, γ = 90.00°
Space group F-43m (No. 216)
One atom of each set of equivalent atoms:
In 0.000 0.000 0.000
In 0.250 0.250 0.250
Os 0.000 0.000 0.500
Rh 0.250 0.250 0.750

Calculated values
- ΔE_f: 0.464 eV per atom
- Raw total energy: -5.55 eV per atom
- Total magnetic moment: 0.02 Bohr magnetons per cell

No. 2
# Sr4AsW

A geometry-optimized Sr4AsW structure (PBE, Alexandria via LeMat-Bulk).

a = 9.431 Å, b = 9.431 Å, c = 9.431 Å
α = 90.00°, β = 90.00°, γ = 90.00°
Space group F-43m (No. 216)
One atom of each set of equivalent atoms:
Sr 0.125 0.125 0.125
As 0.000 0.000 0.500
W 0.250 0.250 0.750

Calculated values
- ΔE_f: 1.178 eV per atom
- Raw total energy: -2.88 eV per atom
- Total magnetic moment: 11.98 Bohr magnetons per cell

No. 3
# Zr2TiOs2

A geometry-optimized Zr2TiOs2 structure (PBE, Alexandria via LeMat-Bulk).

a = 6.573 Å, b = 6.573 Å, c = 4.382 Å
α = 90.00°, β = 90.00°, γ = 90.00°
Space group P4/mbm (No. 127)
One atom of each set of equivalent atoms:
Zr 0.183 0.317 0.000
Ti 0.000 0.000 0.500
Os 0.135 0.635 0.500

Calculated values
- ΔE_f: -0.269 eV per atom
- Raw total energy: -9.76 eV per atom
- Total magnetic moment: 0.00 Bohr magnetons per cell

What is the formula in the third record?
Zr2TiOs2